Material: Ce2NdHoN4
Method: DFT, PBE
State: relaxed

Calculated values
The calculation puts the total magnetic moment at 0.43 Bohr magnetons per cell. The uncorrected formation energy is -1.521 eV per atom. The calculation puts the density of states at the Fermi level at 4.59 states/eV per cell.

Unit cell a=6.1549 b=3.5587 c=6.1749 alpha=90.00 beta=109.47 gamma=90.00
Last column: nearest neighbours and their distance in Å.
Fractional positions:
Ce  0.0000  0.0000  0.0000  6 N 2.46-2.47
Ce  0.0000  0.5000  0.5000  6 N 2.53
Nd  0.5000  0.0000  0.5000  6 N 2.57
Ho  0.5000  0.5000  0.0000  6 N 2.51
N  0.2406  0.5000  0.2384  3 Ce 2.46-2.53, 1 Ho 2.51, 2 Nd 2.57
N  0.2475  0.0000  0.7571  3 Ce 2.47-2.53, 2 Ho 2.51, 1 Nd 2.57
N  0.7525  0.0000  0.2429  3 Ce 2.47-2.53, 2 Ho 2.51, 1 Nd 2.57
N  0.7594  0.5000  0.7616  3 Ce 2.46-2.53, 1 Ho 2.51, 2 Nd 2.57